Record 1
This record from Alexandria via LeMat-Bulk describes crystalline RuPtN3 at its relaxed geometry. The functional is PBE.

Structure (POSCAR):
```
RuPtN3
1.0
3.854 0.000 0.000
0.000 3.854 0.000
0.000 0.000 3.854
Ru Pt N
1 1 3
Cartesian
0.000 0.000 0.000
1.927 1.927 1.927
0.000 1.927 0.000
0.000 0.000 1.927
1.927 0.000 0.000
```

Output
- raw total energy (eV per atom) = -6.38
- ρ (Mg/m³) = 9.81
- formation energy without anion corrections (eV per atom) = 1.675

Record 2
This record from Alexandria via LeMat-Bulk describes crystalline NdDyTmSc at its relaxed geometry. The functional is PBE.

Structure (POSCAR):
```
NdDyTmSc
1.0
-4.806 2.736 -0.542
-3.995 -0.619 3.813
-1.221 4.183 3.449
Sc Tm Nd Dy
1 1 1 1
Cartesian
-7.516 4.725 5.040
-2.505 1.575 1.680
0.000 0.000 0.000
-5.011 3.150 3.360
```

Output
- energy above the lowest structure with this stoichiometry (meV/atom) = 46
- raw total energy (eV per atom) = -4.94
- energy of formation from the pure elements (eV per formula unit) = 0.41
- ρ (Mg/m³) = 7.13

Record 3
This record from Alexandria via LeMat-Bulk describes crystalline Mg6Hg5Pt at its relaxed geometry. The functional is PBE.

Structure (POSCAR):
```
Mg6Hg5Pt
1.0
-1.824 4.474 0.879
-2.998 -0.043 -6.002
-5.109 -5.170 2.589
Mg Hg Pt
6 5 1
Cartesian
-7.324 0.176 -2.043
-5.764 0.198 1.079
-6.712 -2.943 1.647
-3.220 2.204 -4.180
-4.167 -0.937 -3.612
-2.607 -0.915 -0.490
-4.476 1.220 -1.523
-6.967 -1.994 -4.005
-1.499 -0.021 -3.001
-2.964 1.255 1.472
-5.456 -1.959 -1.010
0.000 0.000 0.000
```

Output
- raw total energy (eV per atom) = -1.75
- energy of formation from the pure elements (eV per formula unit) = -3.92
- ρ (Mg/m³) = 9.22

Record 4
This record from Alexandria via LeMat-Bulk describes crystalline HfU3Sb5 at its relaxed geometry. The functional is PBE.

Structure (POSCAR):
```
HfU3Sb5
1.0
4.608 -7.981 0.000
4.608 7.981 0.000
0.000 0.000 6.184
Hf U Sb
2 6 10
Cartesian
0.000 0.000 3.092
0.000 0.000 0.000
1.785 -3.091 4.638
3.570 0.000 1.546
2.823 4.890 1.546
1.785 3.091 4.638
5.646 0.000 4.638
2.823 -4.890 1.546
4.608 2.660 3.092
4.608 -2.660 0.000
4.608 -2.660 3.092
4.608 2.660 0.000
3.364 -5.826 4.638
6.727 0.000 1.546
1.244 2.155 1.546
3.364 5.826 4.638
1.244 -2.155 1.546
2.489 0.000 4.638
```

Output
- raw total energy (eV per atom) = -7.55
- ρ (Mg/m³) = 10.96
- formation energy without anion corrections (eV per atom) = -0.395